<one>
Entry from Alexandria: a geometry-optimized Er4OsPt structure (GGA-PBE).

abc: 8.938 12.850 6.268
angles: 90.00 123.36 90.00
Space group C2/c (No. 15)
Asymmetric unit:
Er 0.125 0.174 0.094
Er 0.200 0.437 0.272
Os 0.000 0.001 0.750
Pt 0.000 0.363 0.750

Properties
Density: 11.6 g/cm³


<two>
Entry from Alexandria: a geometry-optimized Er4OsPt structure (GGA-PBE).

abc: 6.842 6.831 6.824
angles: 90.00 91.04 90.00
Space group P2_1/c (No. 14)
Asymmetric unit:
Er 0.162 0.168 0.173
Er 0.325 0.668 0.162
Os 0.000 0.000 0.500
Pt 0.500 0.000 0.000

Properties
Density: 11.0 g/cm³


From most stable to least stable, the computed energies give <one>, <two>.


<one>
Entry from Alexandria: a geometry-optimized Er8OsPt2 structure (GGA-PBE).

abc: 8.367 12.581 5.852
angles: 90.00 109.37 90.00
Space group Cm (No. 8)
Asymmetric unit:
Er 0.000 0.000 0.000
Er 0.056 0.373 0.786
Er 0.149 0.127 0.592
Er 0.207 0.500 0.355
Er 0.356 0.213 0.178
Os 0.355 0.000 0.019
Pt 0.349 0.313 0.677

Properties
Density: 11.0 g/cm³


<two>
Entry from Alexandria: a geometry-optimized Er8OsPt2 structure (GGA-PBE).

abc: 17.051 4.962 6.764
angles: 90.00 107.35 90.00
Space group C2/m (No. 12)
Asymmetric unit:
Er 0.031 0.000 0.295
Er 0.093 0.500 0.941
Er 0.165 0.500 0.463
Er 0.202 0.000 0.807
Os 0.000 0.500 0.500
Pt 0.187 0.000 0.204

Properties
Density: 11.7 g/cm³


From most stable to least stable, the computed energies give <two>, <one>.


<one>
Entry from Alexandria: a geometry-optimized Er8OsRh2 structure (GGA-PBE).

abc: 17.028 4.919 6.738
angles: 90.00 107.44 90.00
Space group C2/m (No. 12)
Asymmetric unit:
Er 0.032 0.000 0.294
Er 0.093 0.500 0.943
Er 0.167 0.500 0.465
Er 0.202 0.000 0.811
Os 0.000 0.500 0.500
Rh 0.188 0.000 0.202

Properties
Density: 10.7 g/cm³


<two>
Entry from Alexandria: a geometry-optimized Er8OsRh2 structure (GGA-PBE).

abc: 8.191 12.566 5.880
angles: 90.00 109.76 90.00
Space group Cm (No. 8)
Asymmetric unit:
Er 0.000 0.000 0.000
Er 0.066 0.372 0.766
Er 0.153 0.127 0.576
Er 0.211 0.500 0.358
Er 0.353 0.211 0.179
Os 0.353 0.000 0.338
Rh 0.362 0.311 0.679

Properties
Density: 10.1 g/cm³


From most stable to least stable, the computed energies give <one>, <two>.


<one>
Entry from Alexandria: a geometry-optimized Er8Os2Rh structure (GGA-PBE).

abc: 8.365 12.456 5.692
angles: 90.00 108.42 90.00
Space group Cm (No. 8)
Asymmetric unit:
Er 0.000 0.000 0.000
Er 0.067 0.370 0.786
Er 0.159 0.130 0.589
Er 0.226 0.500 0.384
Er 0.361 0.217 0.190
Os 0.364 0.311 0.693
Rh 0.361 0.000 0.268

Properties
Density: 10.8 g/cm³


<two>
Entry from Alexandria: a geometry-optimized Er8Os2Rh structure (GGA-PBE).

abc: 17.381 4.711 6.904
angles: 90.00 107.18 90.00
Space group C2/m (No. 12)
Asymmetric unit:
Er 0.031 0.000 0.291
Er 0.098 0.500 0.965
Er 0.169 0.500 0.463
Er 0.206 0.000 0.814
Os 0.184 0.000 0.201
Rh 0.000 0.500 0.500

Properties
Density: 11.2 g/cm³


From most stable to least stable, the computed energies give <two>, <one>.